(1)
First-principles (PBE) data for a geometry-optimized PmRe2AgO8 structure, as listed in Alexandria.

a = 6.5125 Å, b = 6.5125 Å, c = 6.6178 Å
α = 90.00°, β = 90.00°, γ = 120.00°
Closest atoms and distances in Å follow each position.
Space group P-3m1 (No. 164)
Inequivalent atoms, fractional coordinates:
Pm  0.0000  0.0000  0.0000 (multiplicity 1)  6 O 2.37
Re  0.3333  0.6667  0.2564 (multiplicity 2)  4 O 1.74-1.78
Ag  0.0000  0.0000  0.5000 (multiplicity 1)  6 O 2.98, 2 Pm 3.31
O  0.1828  0.3657  0.1750 (multiplicity 6)  1 Re 1.78
O  0.3333  0.6667  0.5196 (multiplicity 2)  1 Re 1.74

Values from the calculation:
crystal system = trigonal

(2)
First-principles (PBE) data for a geometry-optimized ErCd4Rh structure, as listed in Alexandria.

a = 7.9126 Å, b = 7.9126 Å, c = 7.9126 Å
α = 90.00°, β = 90.00°, γ = 90.00°
Closest atoms and distances in Å follow each position.
Space group F-43m (No. 216)
Inequivalent atoms, fractional coordinates:
Er  0.0000  0.0000  0.0000 (multiplicity 4)  12 Cd 3.28, 4 Rh 3.43
Cd  0.1243  0.1243  0.3757 (multiplicity 16)  6 Cd 2.78-2.81
Rh  0.2500  0.2500  0.7500 (multiplicity 4)  12 Cd 3.28, 4 Er 3.43

Values from the calculation:
crystal system = cubic

| no. | E_tot (Ha/atom) |
| --- | --- |
| 1 | -0.28302 |
| 2 | -0.10072 |